Computed, not measured: a relaxed BaGeI3 crystal at the PBE-GGA level of DFT.

Cell lengths 6.692, 6.692, 6.692 Å; angles 90.00, 90.00, 90.00 degrees
Element x y z (fractional)
Ba 0.000 0.000 0.000
Ge 0.500 0.500 0.500
I 0.000 0.000 0.500
I 0.000 0.500 0.000
I 0.500 0.000 0.000

Summary:
spin magnetization: 1.00 μB/f.u.
formation energy (no corrections): -0.378 eV/atom
uncorrected energy: -13.08 eV/cell